[1]
This record from the Alexandria database describes crystalline Rb2LiSeCl6 at its relaxed geometry. The functional is GGA-PBE.

DOS(E_F) in states/eV/cell: 2.52
Size of the total moment in Bohr magnetons per cell: 1.00
Formation energy (no corrections) in eV/atom: -1.1366
Symmetry: I4/mmm, No. 139
Excess energy over the best structure of this formula in the dataset in meV/atom: 42.7

a b c (Å): 7.0597 7.0597 7.0597
angles (deg): 114.51 114.51 99.81
Element x y z (fractional)
Rb  0.2500  0.7500  0.5000
Rb  0.7500  0.2500  0.5000
Li  0.0000  0.0000  0.0000
Se  0.5000  0.5000  0.0000
Cl  0.2457  0.2457  0.0000
Cl  0.2506  0.2506  0.5013
Cl  0.2506  0.7494  0.0000
Cl  0.7494  0.2506  0.0000
Cl  0.7494  0.7494  0.4987
Cl  0.7543  0.7543  0.0000

***

[2]
This record from the Alexandria database describes crystalline RbLi2SeCl at its relaxed geometry. The functional is GGA-PBE.

DOS(E_F) in states/eV/cell: 0.00
Size of the total moment in Bohr magnetons per cell: 0.00
Formation energy (no corrections) in eV/atom: -1.4636
Symmetry: I4mm, No. 107

a b c (Å): 7.5209 7.5209 7.5209
angles (deg): 146.90 146.90 47.51
Element x y z (fractional)
Rb  0.0000  0.0000  0.0000
Li  0.2300  0.7300  0.5000
Li  0.7300  0.2300  0.5000
Se  0.6361  0.6361  0.0000
Cl  0.3294  0.3294  0.0000

***

[3]
This record from the Alexandria database describes crystalline Rb2LiSiCl6 at its relaxed geometry. The functional is GGA-PBE.

DOS(E_F) in states/eV/cell: 4.32
Size of the total moment in Bohr magnetons per cell: 0.00
Formation energy (no corrections) in eV/atom: -1.4137
Symmetry: I4/mmm, No. 139

a b c (Å): 6.9340 6.9340 6.9340
angles (deg): 115.47 115.47 98.05
Element x y z (fractional)
Rb  0.2500  0.7500  0.5000
Rb  0.7500  0.2500  0.5000
Li  0.0000  0.0000  0.0000
Si  0.5000  0.5000  0.0000
Cl  0.2466  0.2466  0.0000
Cl  0.2688  0.2688  0.5376
Cl  0.2688  0.7312  0.0000
Cl  0.7312  0.2688  0.0000
Cl  0.7312  0.7312  0.4624
Cl  0.7534  0.7534  0.0000

***

> Which of these has the highest DOS(E_F)?

Rb2LiSiCl6